Computed, not measured: a relaxed CsCoAuO3 crystal at the PBE with a Hubbard U level of DFT.

## Properties
**Magnetization**: 1.00 μB per formula unit
**Total DFT energy (no corrections)**: -112.014 eV per cell
**Space-group type**: Pnma, No. 62

Cell: 12.4330 3.1476 10.0619 Å, 90.00 90.00 90.00°
Atoms (fractional coordinates):
Cs1 0.2410 0.2500 0.1347
Cs2 0.2590 0.7500 0.6347
Cs3 0.7410 0.2500 0.3653
Cs4 0.7590 0.7500 0.8653
Co1 0.0244 0.2500 0.3832
Co2 0.4756 0.7500 0.8832
Co3 0.5244 0.2500 0.1168
Co4 0.9756 0.7500 0.6168
Au1 0.0228 0.2500 0.9045
Au2 0.4772 0.7500 0.4045
Au3 0.5228 0.2500 0.5955
Au4 0.9772 0.7500 0.0955
O1 0.0566 0.7500 0.7706
O2 0.0636 0.2500 0.5599
O3 0.1106 0.7500 0.3376
O4 0.3894 0.2500 0.8376
O5 0.4364 0.7500 0.0599
O6 0.4434 0.2500 0.2706
O7 0.5566 0.7500 0.7294
O8 0.5636 0.2500 0.9401
O9 0.6106 0.7500 0.1624
O10 0.8894 0.2500 0.6624
O11 0.9364 0.7500 0.4401
O12 0.9434 0.2500 0.2294